1.
# InCuOsPd (PBE, relaxed)
# - SG = No. 216
# - energy relative to the lowest polymorph listed for this composition (meV per atom) = 0.0
data_InCuOsPd
_space_group_name_H-M_alt 'P 1'
_space_group_IT_number 1
_space_group_name_Hall 'P 1'
_cell_length_a 6.320
_cell_length_b 6.320
_cell_length_c 6.320
_cell_angle_alpha 90.00
_cell_angle_beta 90.00
_cell_angle_gamma 90.00
loop_
_atom_site_label
_atom_site_fract_x
_atom_site_fract_y
_atom_site_fract_z
In1 0.000 0.000 0.000
In2 0.000 0.500 0.500
In3 0.500 0.000 0.500
In4 0.500 0.500 0.000
Cu1 0.250 0.250 0.250
Cu2 0.250 0.750 0.750
Cu3 0.750 0.250 0.750
Cu4 0.750 0.750 0.250
Os1 0.250 0.250 0.750
Os2 0.250 0.750 0.250
Os3 0.750 0.250 0.250
Os4 0.750 0.750 0.750
Pd1 0.000 0.000 0.500
Pd2 0.000 0.500 0.000
Pd3 0.500 0.000 0.000
Pd4 0.500 0.500 0.500

***

2.
# Zr2ReTc3 (PBE, relaxed)
# - SG = No. 194
# - energy relative to the elements (eV/atom) = -0.3177
data_Zr2ReTc3
_space_group_name_H-M_alt 'P 1'
_space_group_IT_number 1
_space_group_name_Hall 'P 1'
_cell_length_a 5.271
_cell_length_b 5.271
_cell_length_c 8.633
_cell_angle_alpha 90.00
_cell_angle_beta 90.00
_cell_angle_gamma 120.00
loop_
_atom_site_label
_atom_site_fract_x
_atom_site_fract_y
_atom_site_fract_z
Zr1 0.333 0.667 0.062
Zr2 0.333 0.667 0.438
Zr3 0.667 0.333 0.562
Zr4 0.667 0.333 0.938
Re1 0.000 0.000 0.000
Re2 0.000 0.000 0.500
Tc1 0.171 0.343 0.750
Tc2 0.171 0.829 0.750
Tc3 0.343 0.171 0.250
Tc4 0.657 0.829 0.750
Tc5 0.829 0.171 0.250
Tc6 0.829 0.657 0.250

***

3.
# Pr2GaSnPt4 (PBE, relaxed)
# - SG = No. 164
# - final energy (eV/atom) = -6.032
data_Pr2GaSnPt4
_space_group_name_H-M_alt 'P 1'
_space_group_IT_number 1
_space_group_name_Hall 'P 1'
_cell_length_a 4.542
_cell_length_b 4.542
_cell_length_c 9.511
_cell_angle_alpha 90.00
_cell_angle_beta 90.00
_cell_angle_gamma 120.00
loop_
_atom_site_label
_atom_site_fract_x
_atom_site_fract_y
_atom_site_fract_z
Pr1 0.333 0.667 0.255
Pr2 0.667 0.333 0.745
Ga1 0.000 0.000 0.500
Sn1 0.000 0.000 0.000
Pt1 0.333 0.667 0.576
Pt2 0.333 0.667 0.913
Pt3 0.667 0.333 0.087
Pt4 0.667 0.333 0.424

***

4.
# GdDy2Mg3Ir2Pd (PBE, relaxed)
# - SG = No. 38
# - final energy (eV/atom) = -5.295
data_GdDy2Mg3Ir2Pd
_space_group_name_H-M_alt 'P 1'
_space_group_IT_number 1
_space_group_name_Hall 'P 1'
_cell_length_a 4.020
_cell_length_b 7.366
_cell_length_c 7.366
_cell_angle_alpha 120.08
_cell_angle_beta 90.00
_cell_angle_gamma 90.00
loop_
_atom_site_label
_atom_site_fract_x
_atom_site_fract_y
_atom_site_fract_z
Gd1 0.000 0.000 0.000
Dy1 0.000 0.167 0.583
Dy2 0.000 0.583 0.167
Mg1 0.500 0.335 0.335
Mg2 0.500 0.583 0.832
Mg3 0.500 0.832 0.583
Ir1 0.500 0.251 0.916
Ir2 0.500 0.916 0.251
Pd1 0.000 0.582 0.582

***

5.
# NaSnAu3O4 (PBE, relaxed)
# - SG = No. 215
# - final energy (eV/atom) = -4.003
data_NaSnAu3O4
_space_group_name_H-M_alt 'P 1'
_space_group_IT_number 1
_space_group_name_Hall 'P 1'
_cell_length_a 5.744
_cell_length_b 5.744
_cell_length_c 5.744
_cell_angle_alpha 90.00
_cell_angle_beta 90.00
_cell_angle_gamma 90.00
loop_
_atom_site_label
_atom_site_fract_x
_atom_site_fract_y
_atom_site_fract_z
Na1 0.000 0.000 0.000
Sn1 0.500 0.500 0.500
Au1 0.000 0.500 0.500
Au2 0.500 0.000 0.500
Au3 0.500 0.500 0.000
O1 0.294 0.294 0.294
O2 0.294 0.706 0.706
O3 0.706 0.294 0.706
O4 0.706 0.706 0.294

***

6.
# MgTaTlOs (PBE, relaxed)
# - SG = No. 216
# - energy relative to the lowest polymorph listed for this composition (meV per atom) = 49.4
data_MgTaTlOs
_space_group_name_H-M_alt 'P 1'
_space_group_IT_number 1
_space_group_name_Hall 'P 1'
_cell_length_a 6.584
_cell_length_b 6.584
_cell_length_c 6.584
_cell_angle_alpha 90.00
_cell_angle_beta 90.00
_cell_angle_gamma 90.00
loop_
_atom_site_label
_atom_site_fract_x
_atom_site_fract_y
_atom_site_fract_z
Mg1 0.000 0.000 0.000
Mg2 0.000 0.500 0.500
Mg3 0.500 0.000 0.500
Mg4 0.500 0.500 0.000
Ta1 0.000 0.000 0.500
Ta2 0.000 0.500 0.000
Ta3 0.500 0.000 0.000
Ta4 0.500 0.500 0.500
Tl1 0.250 0.250 0.250
Tl2 0.250 0.750 0.750
Tl3 0.750 0.250 0.750
Tl4 0.750 0.750 0.250
Os1 0.250 0.250 0.750
Os2 0.250 0.750 0.250
Os3 0.750 0.250 0.250
Os4 0.750 0.750 0.750

***

Number 2 is which compound?
Zr2ReTc3